No. 1
Material: Rb4Pm3SbS8
Method: DFT, GGA-PBE
State: relaxed

a = 9.0764 Å, b = 9.0764 Å, c = 9.0764 Å
α = 54.84°, β = 54.84°, γ = 54.84°
With the nearest neighbours (Å) after each atom.
Fractional coordinates of all 16 atoms:
Rb: 0.0000 0.0000 0.0000  6 S 3.38
Rb: 0.0000 0.5000 0.5000  6 S 3.36
Rb: 0.5000 0.0000 0.5000  6 S 3.36
Rb: 0.5000 0.5000 0.0000  6 S 3.36
Pm: 0.0000 0.0000 0.5000  6 S 2.85
Pm: 0.0000 0.5000 0.0000  6 S 2.85
Pm: 0.5000 0.0000 0.0000  6 S 2.85
Sb: 0.5000 0.5000 0.5000  6 S 2.82
S: 0.2323 0.2323 0.2323  3 Pm 2.85
S: 0.2353 0.7298 0.7298  1 Sb 2.82, 2 Pm 2.85
S: 0.2702 0.2702 0.7647  1 Sb 2.82, 2 Pm 2.85
S: 0.2702 0.7647 0.2702  1 Sb 2.82, 2 Pm 2.85
S: 0.7298 0.2353 0.7298  1 Sb 2.82, 2 Pm 2.85
S: 0.7298 0.7298 0.2353  1 Sb 2.82, 2 Pm 2.85
S: 0.7647 0.2702 0.2702  1 Sb 2.82, 2 Pm 2.85
S: 0.7677 0.7677 0.7677  3 Pm 2.85

Values from the calculation:
ΔE_f (raw): -1542 meV per atom

No. 2
Material: CaWC2
Method: DFT, GGA-PBE
State: relaxed

a = 5.4940 Å, b = 5.4940 Å, c = 8.8059 Å
α = 90.00°, β = 90.00°, γ = 90.00°
With the nearest neighbours (Å) after each atom.
Fractional coordinates of all 16 atoms:
Ca: 0.0000 0.0000 0.0000  4 C 2.56
Ca: 0.0000 0.5000 0.2500  4 C 2.56
Ca: 0.5000 0.0000 0.7500  4 C 2.56
Ca: 0.5000 0.5000 0.5000  4 C 2.56
W: 0.0000 0.0000 0.5000  4 C 1.97
W: 0.0000 0.5000 0.7500  4 C 1.97
W: 0.5000 0.0000 0.2500  4 C 1.97
W: 0.5000 0.5000 0.0000  4 C 1.97
C: 0.1628 0.2500 0.6250  2 W 1.97
C: 0.2500 0.6628 0.8750  2 W 1.97
C: 0.2500 0.8372 0.3750  2 W 1.97
C: 0.3372 0.2500 0.1250  2 W 1.97
C: 0.6628 0.7500 0.1250  2 W 1.97
C: 0.7500 0.1628 0.3750  2 W 1.97
C: 0.7500 0.3372 0.8750  2 W 1.97
C: 0.8372 0.7500 0.6250  2 W 1.97

Values from the calculation:
Uncorrected energy: -130.2 eV/cell

No. 3
Material: InGa2Tc2
Method: DFT, GGA-PBE
State: relaxed

a = 7.0115 Å, b = 7.0115 Å, c = 3.2387 Å
α = 90.00°, β = 90.00°, γ = 90.00°
With the nearest neighbours (Å) after each atom.
Fractional coordinates of all 10 atoms:
In: 0.0000 0.0000 0.0000  4 Ga 2.75, 8 Tc 3.08
In: 0.5000 0.5000 0.0000  4 Ga 2.75, 8 Tc 3.08
Ga: 0.1298 0.3702 0.0000  1 Ga 2.57, 6 Tc 2.60-2.63, 2 In 2.75
Ga: 0.3702 0.8702 0.0000  1 Ga 2.57, 6 Tc 2.60-2.63, 2 In 2.75
Ga: 0.6298 0.1298 0.0000  1 Ga 2.57, 6 Tc 2.60-2.63, 2 In 2.75
Ga: 0.8702 0.6298 0.0000  1 Ga 2.57, 6 Tc 2.60-2.63, 2 In 2.75
Tc: 0.1646 0.6646 0.5000  6 Ga 2.60-2.63
Tc: 0.3354 0.1646 0.5000  6 Ga 2.60-2.63
Tc: 0.6646 0.8354 0.5000  6 Ga 2.60-2.63
Tc: 0.8354 0.3354 0.5000  6 Ga 2.60-2.63

Values from the calculation:
Uncorrected energy: -58.1 eV/cell

Computed DOS at the Fermi energy (states/eV per atom) in order:
0.00 0.00 0.65